# 1
Nd12ErCd6: relaxed, PBE.

a = 11.5694 Å, b = 11.5694 Å, c = 14.9576 Å
α = 90.00°, β = 90.00°, γ = 120.00°
Space group R-3 (No. 148, hexagonal axes)
One atom of each set of equivalent atoms:
Nd: 0.0404 0.8497 0.3058 x18
Nd: 0.0584 0.2172 0.9096 x18
Er: 0.0000 0.0000 0.5000 x3
Cd: 0.0366 0.5924 0.2056 x18

Calculated values
- Fermi-level density of states: 72.99 states/eV per cell
- E_tot: -3.646 eV/atom
- Formation enthalpy at 0 K: -0.11 eV per atom
- Volume: 30.42 Å³ per atom



# 2
CrIn2Rh: relaxed, PBE.

a = 9.0518 Å, b = 3.3424 Å, c = 5.0596 Å
α = 90.00°, β = 104.46°, γ = 90.00°
Space group C2/m (No. 12)
One atom of each set of equivalent atoms:
Cr: 0.0000 0.0000 0.0000 x2
In: 0.2442 0.0000 0.7409 x4
Rh: 0.0000 0.5000 0.5000 x2

Calculated values
- Fermi-level density of states: 5.12 states/eV per cell
- ΔE to the lowest computed polymorph: 149 meV/atom
- E_tot: -5.513 eV/atom
- Formation enthalpy at 0 K: 0.10 eV per atom
- Volume: 18.53 Å³ per atom



# 3
HfNbP2S: relaxed, PBE.

a = 4.8122 Å, b = 4.8122 Å, c = 4.6014 Å
α = 90.00°, β = 90.00°, γ = 90.00°
Space group P4/mmm (No. 123)
One atom of each set of equivalent atoms:
Hf: 0.0000 0.0000 0.0000 x1
Nb: 0.5000 0.5000 0.5000 x1
P: 0.0000 0.5000 0.5000 x2
S: 0.5000 0.5000 0.0000 x1

Calculated values
- Fermi-level density of states: 3.49 states/eV per cell
- E_form (uncorrected): 242 meV per atom
- ΔE to the lowest computed polymorph: 0 meV/atom
- E_tot: -6.752 eV/atom
- Volume: 21.31 Å³ per atom



# 4
EuTmSi2: relaxed, PBE.

a = 3.7326 Å, b = 3.7326 Å, c = 24.6499 Å
α = 90.00°, β = 90.00°, γ = 120.00°
Space group R-3m (No. 166, hexagonal axes)
One atom of each set of equivalent atoms:
Eu: 0.0000 0.0000 0.0000 x3
Tm: 0.0000 0.0000 0.5000 x3
Si: 0.0000 0.0000 0.2463 x6

Calculated values
- Fermi-level density of states: 22.26 states/eV per cell
- E_form (uncorrected): -239 meV per atom
- E_tot: -6.637 eV/atom
- Volume: 24.79 Å³ per atom